# Hf2Mg2As

A relaxed structure of Hf2Mg2As (PBE, the Alexandria database).

energy above the lowest structure with this stoichiometry	0	kJ/mol of formula units
DFT formation energy	-0.17	eV per atom
density of states at the Fermi level	0.871	states/eV per atom

a = 6.8723 Å, b = 6.8723 Å, c = 4.8937 Å
α = 90.00°, β = 90.00°, γ = 90.00°
Space group P4/mbm (No. 127)
One atom of each set of equivalent atoms:
Hf1 0.1550 0.3450 0.0000 x4
Mg1 0.1486 0.6486 0.5000 x4
As1 0.0000 0.0000 0.0000 x2

---

# SrNpV2N6

A relaxed structure of SrNpV2N6 (PBE, the Alexandria database).

total energy	-9.09	eV/atom
density of states at the Fermi level	0.251	states/eV per atom

a = 10.8624 Å, b = 10.1671 Å, c = 6.2360 Å
α = 90.00°, β = 112.18°, γ = 90.00°
Space group C2/c (No. 15)
One atom of each set of equivalent atoms:
Sr1 0.0000 0.0985 0.2500 x4
Np1 0.0000 0.2872 0.7500 x4
V1 0.2069 0.4244 0.1659 x8
N1 0.0934 0.2871 0.0937 x8
N2 0.1249 0.1232 0.7035 x8
N3 0.1605 0.4580 0.8542 x8

---

# Li2CrSiRu

A relaxed structure of Li2CrSiRu (PBE, the Alexandria database).

total energy	-4.56	eV/atom
density of states at the Fermi level	1.121	states/eV per atom

a = 4.4751 Å, b = 4.4751 Å, c = 4.3567 Å
α = 90.00°, β = 90.00°, γ = 90.00°
Space group P4/mmm (No. 123)
One atom of each set of equivalent atoms:
Li1 0.0000 0.5000 0.0000 x2
Cr1 0.0000 0.0000 0.5000 x1
Si1 0.5000 0.5000 0.5000 x1
Ru1 0.0000 0.0000 0.0000 x1

---

# K3AgHg

A relaxed structure of K3AgHg (PBE, the Alexandria database).

energy above the lowest structure with this stoichiometry	0	kJ/mol of formula units
DFT formation energy	-0.10	eV per atom
density of states at the Fermi level	0.394	states/eV per atom

a = 5.3467 Å, b = 10.2385 Å, c = 7.5623 Å
α = 90.00°, β = 90.00°, γ = 90.00°
Space group Pmmn (No. 59, origin choice 2)
One atom of each set of equivalent atoms:
K1 0.2500 0.0457 0.2482 x4
K2 0.2500 0.2500 0.7605 x2
Ag1 0.2500 0.7500 0.9351 x2
Hg1 0.2500 0.7500 0.5546 x2

---

# Pm2SmEr

A relaxed structure of Pm2SmEr (PBE, the Alexandria database).

energy above the lowest structure with this stoichiometry	1	kJ/mol of formula units
DFT formation energy	0.02	eV per atom
density of states at the Fermi level	1.592	states/eV per atom

a = 5.1061 Å, b = 5.1061 Å, c = 5.0928 Å
α = 90.00°, β = 90.00°, γ = 90.00°
Space group P4/mmm (No. 123)
One atom of each set of equivalent atoms:
Pm1 0.0000 0.5000 0.0000 x2
Sm1 0.0000 0.0000 0.5000 x1
Er1 0.5000 0.5000 0.5000 x1

---

# SbPt2Br

A relaxed structure of SbPt2Br (PBE, the Alexandria database).

energy above the lowest structure with this stoichiometry	198	kJ/mol of formula units
density of states at the Fermi level	0.484	states/eV per atom

a = 3.3835 Å, b = 4.4034 Å, c = 5.3226 Å
α = 90.00°, β = 90.00°, γ = 90.00°
Space group Pmmm (No. 47)
One atom of each set of equivalent atoms:
Sb1 0.0000 0.0000 0.0000 x1
Pt1 0.0000 0.5000 0.5000 x1
Pt2 0.5000 0.5000 0.0000 x1
Br1 0.5000 0.0000 0.5000 x1

---

# Li2Ho2ThPb2

A relaxed structure of Li2Ho2ThPb2 (PBE, the Alexandria database).

DFT formation energy	-0.22	eV per atom
density of states at the Fermi level	0.583	states/eV per atom

a = 4.8873 Å, b = 4.8873 Å, c = 26.6600 Å
α = 90.00°, β = 90.00°, γ = 120.00°
Space group R-3m (No. 166, hexagonal axes)
One atom of each set of equivalent atoms:
Li1 0.0000 0.0000 0.0880 x6
Ho1 0.0000 0.0000 0.3702 x6
Th1 0.0000 0.0000 0.5000 x3
Pb1 0.0000 0.0000 0.2381 x6

---

# AcSnN

A relaxed structure of AcSnN (PBE, the Alexandria database).

energy above the lowest structure with this stoichiometry	95	kJ/mol of formula units
density of states at the Fermi level	0.527	states/eV per atom

a = 3.9999 Å, b = 3.9999 Å, c = 5.8326 Å
α = 90.00°, β = 90.00°, γ = 120.00°
Space group P3m1 (No. 156)
One atom of each set of equivalent atoms:
Ac1 0.0000 0.0000 0.0000 x1
Sn1 0.3333 0.6667 0.4733 x1
N1 0.6667 0.3333 0.1318 x1

---

Question: Which value of density of states at the Fermi level does entry 3 give?
Answer: 1.121 states/eV per atom

---

Copy entry 4 word for word.
# K3AgHg

A relaxed structure of K3AgHg (PBE, the Alexandria database).

energy above the lowest structure with this stoichiometry	0	kJ/mol of formula units
DFT formation energy	-0.10	eV per atom
density of states at the Fermi level	0.394	states/eV per atom

a = 5.3467 Å, b = 10.2385 Å, c = 7.5623 Å
α = 90.00°, β = 90.00°, γ = 90.00°
Space group Pmmn (No. 59, origin choice 2)
One atom of each set of equivalent atoms:
K1 0.2500 0.0457 0.2482 x4
K2 0.2500 0.2500 0.7605 x2
Ag1 0.2500 0.7500 0.9351 x2
Hg1 0.2500 0.7500 0.5546 x2

---

Please write out number 1 again, unchanged.
# Hf2Mg2As

A relaxed structure of Hf2Mg2As (PBE, the Alexandria database).

energy above the lowest structure with this stoichiometry	0	kJ/mol of formula units
DFT formation energy	-0.17	eV per atom
density of states at the Fermi level	0.871	states/eV per atom

a = 6.8723 Å, b = 6.8723 Å, c = 4.8937 Å
α = 90.00°, β = 90.00°, γ = 90.00°
Space group P4/mbm (No. 127)
One atom of each set of equivalent atoms:
Hf1 0.1550 0.3450 0.0000 x4
Mg1 0.1486 0.6486 0.5000 x4
As1 0.0000 0.0000 0.0000 x2